First-principles (GGA-PBE) data for a relaxed structure of VNi2Sn2, as listed in Alexandria via LeMat-Bulk.

The formation energy comes out at 0.13 eV/atom. The spin magnetization is 1.0 μB/cell. As for the energy above the most stable polymorph in this dataset: 0.061 eV/atom. The crystal system is tetragonal.

It has space group P4/mbm (No. 127), with a = 7.3866 Å, b = 7.3866 Å, c = 2.9587 Å, α = 90.00°, β = 90.00° and γ = 90.00°. The asymmetric unit holds V at (0.0000, 0.0000, 0.0000), Ni at (0.1413, 0.3587, 0.5000) and Sn at (0.1562, 0.6562, 0.0000).